# 1
8
Lattice="4.061 0.000 0.000 0.000 3.955 0.000 0.000 0.000 9.257" Properties=species:S:1:pos:R:3 comment="Li4As3Au (PBE, relaxed)" crystal_system=orthorhombic space_group="No. 25" ef_kj_per_mol_atoms=-38.4 pbc="T T T"
Li 2.030 1.977 3.506
Li 0.000 1.977 8.069
Li 0.000 0.000 1.159
Li 2.030 0.000 5.807
As 0.000 1.977 5.401
As 0.000 0.000 3.808
As 2.030 0.000 8.489
Au 2.030 1.977 0.790


# 2
12
Lattice="-2.326 4.635 1.121 -2.960 -4.334 -0.781 0.405 -1.682 7.794" Properties=species:S:1:pos:R:3 comment="AcZnS2O8 (PBE, relaxed)" crystal_system=trigonal space_group="No. 164" formation_energy_uncorrected_ev_per_atom=-1.74 pbc="T T T"
Ac 0.202 -0.841 3.897
Zn 0.000 0.000 0.000
S -2.465 -2.521 5.309
S -2.416 1.141 2.825
O -1.172 -1.997 5.825
O -2.540 -3.999 5.464
O -3.614 -1.858 5.982
O -1.267 0.478 2.152
O -2.339 0.822 4.304
O -2.542 -2.202 3.831
O -3.709 0.617 2.309
O -2.342 2.619 2.670


# 3
16
Lattice="-3.699 1.890 -6.103 0.151 -3.795 -1.267 -10.791 -2.369 5.806" Properties=species:S:1:pos:R:3 comment="LaAuS2 (PBE, relaxed)" crystal_system=orthorhombic space_group="No. 62" formation_energy_uncorrected_ev_per_atom=-1.31 polymorph_energy_mev_per_atom=83 pbc="T T T"
S -7.709 -0.795 -1.703
S -13.500 -3.636 -0.210
S -6.629 -3.479 0.139
S -0.838 -0.637 -1.353
S -9.847 -1.966 1.550
S -3.070 -3.346 0.168
S -4.491 -2.307 -3.114
S -11.268 -0.927 -1.732
Au -6.785 -2.064 2.207
Au -2.115 -2.367 -2.651
Au -7.553 -2.210 -3.771
Au -12.223 -1.906 1.087
La -5.003 -1.108 -0.442
La -9.578 -4.570 3.056
La -9.335 -3.166 -1.121
La -4.760 0.297 -4.620


# 4
10
Lattice="-0.484 2.969 -3.708 -7.645 4.397 1.445 3.551 9.008 3.675" Properties=species:S:1:pos:R:3 comment="Cs2Rb3Cl5 (PBE, relaxed)" crystal_system=monoclinic space_group="No. 12" formation_energy_uncorrected_ev_per_atom=-1.92 pbc="T T T"
Cs 0.235 3.761 -0.094
Cs -4.814 12.614 1.506
Rb -2.289 8.187 0.706
Rb -4.534 4.308 0.967
Rb -0.045 12.066 0.445
Cl 0.000 0.000 0.000
Cl 0.343 6.557 2.132
Cl -4.922 9.817 -0.719
Cl -2.669 5.588 -1.326
Cl -1.910 10.786 2.738


# 5
18
Lattice="-5.110 0.463 1.141 1.853 -4.502 -1.981 1.927 -3.658 10.114" Properties=species:S:1:pos:R:3 comment="PuAlPbO6 (PBE, relaxed)" crystal_system=trigonal space_group="No. 163" formation_energy_uncorrected_ev_per_atom=-2.18 pbc="T T T"
Pu 0.014 -3.761 1.588
Pu -1.343 -3.935 7.686
Al -2.307 -2.106 2.629
Al 0.977 -5.590 6.645
Pb 0.000 0.000 0.000
Pb 0.964 -1.829 5.057
O -1.798 -3.064 1.019
O -4.082 -1.739 1.933
O 1.220 -6.662 5.045
O 2.752 -5.958 7.341
O -0.577 -2.745 3.235
O -3.223 -3.623 3.421
O 0.283 -7.265 7.338
O -2.550 -1.035 4.229
O 1.893 -4.073 5.853
O -1.613 -0.431 1.936
O -0.752 -4.951 6.039
O 0.468 -4.633 8.255


# 6
3
Lattice="-3.468 -0.477 -5.756 -2.173 -2.928 -5.354 -2.723 0.066 0.656" Properties=species:S:1:pos:R:3 comment="ReSiPt (PBE, relaxed)" crystal_system=orthorhombic space_group="No. 42" formation_energy_uncorrected_ev_per_atom=0.09 polymorph_energy_mev_per_atom=232 pbc="T T T"
Pt -2.766 0.015 0.484
Re -3.654 -1.041 -3.096
Si -4.668 -2.247 -7.185


Let's list total DFT energy (no corrections) in order: -3.508; -6.177; -5.430; -3.304; -7.910; -7.878 eV per atom.